First-principles (meta-GGA SCAN) data for a PBEsol-optimized structure of MgTa2Au, as listed in Alexandria.

Cell: 2.8230 2.8230 8.8545 Å, 90.00 90.00 90.00°
With the nearest neighbours (Å) after each atom.
Space group P4mm (No. 99)
Symmetry-distinct sites (fractional):
Mg  0.0000  0.0000  0.0000  4 Mg 2.82, 4 Au 2.87, 4 Ta 3.14
Ta  0.0000  0.0000  0.5271  8 Ta 2.82-3.00, 4 Au 2.91
Ta  0.5000  0.5000  0.2744  8 Ta 2.82-3.00, 4 Mg 3.14
Au  0.5000  0.5000  0.7665  4 Au 2.82, 4 Mg 2.87, 4 Ta 2.91

Properties
Total energy: -207.78 eV/f.u.
DOS at the Fermi energy: 2.292 states/eV/cell
ΔH_f (0 K): -0.121 eV/atom



First-principles (meta-GGA SCAN) data for a PBEsol-optimized structure of TcAg, as listed in Alexandria.

Cell: 2.8635 2.8635 7.6363 Å, 90.00 90.00 90.00°
With the nearest neighbours (Å) after each atom.
Space group P4/nmm (No. 129, origin choice 2)
Symmetry-distinct sites (fractional):
Tc  0.2500  0.2500  0.0939  4 Tc 2.48
Ag  0.2500  0.2500  0.6303  8 Ag 2.84-2.86, 4 Tc 2.92

Properties
Total energy: -65.91 eV/f.u.
E above lowest polymorph: 0 meV/atom
DOS at the Fermi energy: 2.173 states/eV/cell
ΔH_f (0 K): 0.257 eV/atom



First-principles (meta-GGA SCAN) data for a PBEsol-optimized structure of LaTl3Tc, as listed in Alexandria.

Cell: 5.1770 5.1770 5.1770 Å, 90.00 90.00 90.00°
With the nearest neighbours (Å) after each atom.
Space group Pm-3m (No. 221)
Symmetry-distinct sites (fractional):
La  0.0000  0.0000  0.0000  12 Tl 3.66
Tl  0.0000  0.5000  0.5000  2 Tc 2.59
Tc  0.5000  0.5000  0.5000  6 Tl 2.59

Properties
Total energy: -294.59 eV/f.u.
DOS at the Fermi energy: 3.737 states/eV/cell
ΔH_f (0 K): 0.131 eV/atom



First-principles (meta-GGA SCAN) data for a PBEsol-optimized structure of LaIrSN2, as listed in Alexandria.

Cell: 3.9562 3.9562 5.9352 Å, 90.00 90.00 90.00°
With the nearest neighbours (Å) after each atom.
Space group P4/mmm (No. 123)
Symmetry-distinct sites (fractional):
La  0.0000  0.0000  0.0000  4 N 1.98
Ir  0.5000  0.5000  0.5000  4 S 2.80
S  0.0000  0.0000  0.5000  4 Ir 2.80, 2 La 2.97
N  0.0000  0.5000  0.0000  2 La 1.98

Properties
Total energy: -134.81 eV/f.u.
Raw formation energy: 7.602 eV/f.u.
DOS at the Fermi energy: 2.522 states/eV/cell



First-principles (meta-GGA SCAN) data for a PBEsol-optimized structure of Li3Mg, as listed in Alexandria.

Cell: 3.4033 3.4033 6.8186 Å, 90.00 90.00 90.00°
With the nearest neighbours (Å) after each atom.
Space group P4/mmm (No. 123)
Symmetry-distinct sites (fractional):
Li  0.0000  0.0000  0.0000  8 Li 2.93
Li  0.5000  0.5000  0.2453  4 Li 2.93, 4 Mg 2.97
Mg  0.0000  0.0000  0.5000  8 Li 2.97

Properties
Total energy: -12.25 eV/f.u.
DOS at the Fermi energy: 1.778 states/eV/cell
ΔH_f (0 K): -0.027 eV/atom



First-principles (meta-GGA SCAN) data for a PBEsol-optimized structure of Li3Cu, as listed in Alexandria.

Cell: 9.0760 2.6776 4.8458 Å, 90.00 99.80 90.00°
With the nearest neighbours (Å) after each atom.
Space group C2/m (No. 12)
Symmetry-distinct sites (fractional):
Li  0.0000  0.0000  0.0000  8 Li 2.68-2.85, 4 Cu 2.77
Li  0.2381  0.0000  0.7299  3 Cu 2.62-2.79, 9 Li 2.64-2.92
Cu  0.0000  0.5000  0.5000  10 Li 2.62-2.79, 2 Cu 2.68

Properties
Total energy: -22.24 eV/f.u.
DOS at the Fermi energy: 2.841 states/eV/cell
ΔH_f (0 K): 0.033 eV/atom



First-principles (meta-GGA SCAN) data for a PBEsol-optimized structure of TlRe2Cl, as listed in Alexandria.

Cell: 2.8185 5.1502 9.2154 Å, 90.00 90.00 90.00°
With the nearest neighbours (Å) after each atom.
Space group Cmmm (No. 65)
Symmetry-distinct sites (fractional):
Tl  0.0000  0.0000  0.0000  6 Tl 2.82-2.94, 4 Re 2.83
Re  0.0000  0.5000  0.2667  2 Cl 2.57, 2 Re 2.82, 2 Tl 2.83
Cl  0.0000  0.0000  0.5000  4 Re 2.57, 2 Cl 2.82

Properties
Total energy: -217.44 eV/f.u.
Raw formation energy: 5.096 eV/f.u.
E above lowest polymorph: 218 meV/atom
DOS at the Fermi energy: 6.721 states/eV/cell



First-principles (meta-GGA SCAN) data for a PBEsol-optimized structure of KTlP2, as listed in Alexandria.

Cell: 4.4666 4.4666 8.8436 Å, 90.00 90.00 90.00°
With the nearest neighbours (Å) after each atom.
Space group I-4m2 (No. 119)
Symmetry-distinct sites (fractional):
K  0.0000  0.0000  0.0000  4 Tl 3.14, 8 P 3.14-3.16
Tl  0.0000  0.5000  0.7500  4 K 3.14, 8 P 3.14-3.16
P  0.0000  0.0000  0.5000  4 Tl 3.14, 4 P 3.14, 4 K 3.16
P  0.0000  0.5000  0.2500  4 K 3.14, 4 P 3.14, 4 Tl 3.16

Properties
Total energy: -99.65 eV/f.u.
E above lowest polymorph: 490 meV/atom
DOS at the Fermi energy: 3.591 states/eV/cell
ΔH_f (0 K): 0.460 eV/atom